DFT (GGA-PBE) results for a relaxed SrCa2Au crystal.

abc: 7.1726 7.1726 7.1726
angles: 148.93 131.82 58.45
Last column: nearest neighbours and their distance in Å.
Fractional coordinates of all 4 atoms:
Sr  0.0000  0.0000  0.0000  4 Au 3.50, 4 Ca 3.76, 2 Sr 3.84
Ca  0.3114  0.8114  0.5000  2 Au 3.04
Ca  0.6886  0.1886  0.5000  2 Au 3.04
Au  0.5000  0.5000  0.0000  4 Ca 3.04

Summary:
* relative energy among the computed polymorphs: 76 meV per atom
* DFT formation energy: -0.386 eV per atom



DFT (GGA-PBE) results for a relaxed SrCa2ThAu4 crystal.

abc: 9.1538 9.1538 9.1538
angles: 33.32 33.32 33.32
Last column: nearest neighbours and their distance in Å.
Fractional coordinates of all 8 atoms:
Sr  0.0000  0.0000  0.0000  8 Au 3.28-3.46
Ca  0.2526  0.2526  0.2526  8 Au 3.09-3.35
Ca  0.7474  0.7474  0.7474  8 Au 3.09-3.35
Th  0.5000  0.5000  0.5000  8 Au 3.06-3.15
Au  0.1335  0.1335  0.1335  4 Ca 3.09-3.32, 3 Th 3.15, 1 Sr 3.46
Au  0.3821  0.3821  0.3821  1 Th 3.06, 4 Ca 3.14-3.35, 3 Sr 3.28
Au  0.6179  0.6179  0.6179  1 Th 3.06, 4 Ca 3.14-3.35, 3 Sr 3.28
Au  0.8665  0.8665  0.8665  4 Ca 3.09-3.32, 3 Th 3.15, 1 Sr 3.46

Summary:
* DFT formation energy: -0.737 eV per atom



DFT (GGA-PBE) results for a relaxed Sr2CaTlAu crystal.

abc: 6.0495 6.0495 5.6750
angles: 90.00 90.00 90.00
Last column: nearest neighbours and their distance in Å.
Fractional coordinates of all 5 atoms:
Sr  0.0000  0.5000  0.0000  2 Au 3.02
Sr  0.5000  0.0000  0.0000  2 Au 3.02
Ca  0.0000  0.0000  0.5000  2 Au 2.84
Tl  0.5000  0.5000  0.5000  8 Sr 4.15, 4 Ca 4.28
Au  0.0000  0.0000  0.0000  2 Ca 2.84, 4 Sr 3.02

Summary:
* DFT formation energy: -0.323 eV per atom



DFT (GGA-PBE) results for a relaxed SrCaTl2Au crystal.

abc: 5.7426 5.7426 6.8916
angles: 90.00 90.00 90.00
Last column: nearest neighbours and their distance in Å.
Fractional coordinates of all 5 atoms:
Sr  0.0000  0.0000  0.0000  2 Ca 3.45
Ca  0.0000  0.0000  0.5000  4 Tl 2.87
Tl  0.0000  0.5000  0.5000  2 Ca 2.87
Tl  0.5000  0.0000  0.5000  2 Ca 2.87
Au  0.5000  0.5000  0.0000  4 Sr 4.06, 8 Tl 4.49

Summary:
* DFT formation energy: 0.572 eV per atom



DFT (GGA-PBE) results for a relaxed Sr2CaYAu crystal.

abc: 6.1349 6.1349 5.6527
angles: 90.00 90.00 90.00
Last column: nearest neighbours and their distance in Å.
Fractional coordinates of all 5 atoms:
Sr  0.0000  0.5000  0.0000  2 Au 3.07
Sr  0.5000  0.0000  0.0000  2 Au 3.07
Ca  0.0000  0.0000  0.5000  8 Sr 4.17, 4 Y 4.34
Y  0.5000  0.5000  0.5000  2 Au 2.83
Au  0.5000  0.5000  0.0000  2 Y 2.83, 4 Sr 3.07

Summary:
* relative energy among the computed polymorphs: 0 meV per atom
* DFT formation energy: -0.187 eV per atom



DFT (GGA-PBE) results for a relaxed Sr2CaYAu crystal.

abc: 6.0421 6.0421 5.7350
angles: 90.00 90.00 90.00
Last column: nearest neighbours and their distance in Å.
Fractional coordinates of all 5 atoms:
Sr  0.0000  0.5000  0.0000  2 Au 3.02
Sr  0.5000  0.0000  0.0000  2 Au 3.02
Ca  0.0000  0.0000  0.5000  2 Au 2.87
Y  0.5000  0.5000  0.5000  8 Sr 4.17, 4 Ca 4.27
Au  0.0000  0.0000  0.0000  2 Ca 2.87, 4 Sr 3.02

Summary:
* relative energy among the computed polymorphs: 103 meV per atom
* DFT formation energy: -0.084 eV per atom



DFT (GGA-PBE) results for a relaxed SrCaY2Au crystal.

abc: 5.6764 5.6764 5.8354
angles: 90.00 90.00 90.00
Last column: nearest neighbours and their distance in Å.
Fractional coordinates of all 5 atoms:
Sr  0.0000  0.0000  0.0000  4 Ca 4.01, 8 Y 4.07
Ca  0.5000  0.5000  0.0000  2 Au 2.92
Y  0.0000  0.5000  0.5000  2 Au 2.84
Y  0.5000  0.0000  0.5000  2 Au 2.84
Au  0.5000  0.5000  0.5000  4 Y 2.84, 2 Ca 2.92

Summary:
* DFT formation energy: -0.184 eV per atom



DFT (GGA-PBE) results for a relaxed SrCaZn2Au5 crystal.

abc: 4.6029 4.6029 9.2036
angles: 90.00 90.00 90.00
Last column: nearest neighbours and their distance in Å.
Fractional coordinates of all 9 atoms:
Sr  0.0000  0.0000  0.0000  12 Au 3.18-3.25
Ca  0.0000  0.0000  0.5000  8 Au 3.33, 8 Zn 3.48
Zn  0.5000  0.5000  0.3667  1 Zn 2.45, 4 Au 2.58
Zn  0.5000  0.5000  0.6333  1 Zn 2.45, 4 Au 2.58
Au  0.0000  0.5000  0.2392  2 Zn 2.58
Au  0.0000  0.5000  0.7608  2 Zn 2.58
Au  0.5000  0.0000  0.2392  2 Zn 2.58
Au  0.5000  0.0000  0.7608  2 Zn 2.58
Au  0.5000  0.5000  0.0000  8 Au 3.18, 4 Sr 3.25, 2 Zn 3.38

Summary:
* DFT formation energy: -0.474 eV per atom



Number 1: raw total energy -2.627 eV/atom. Number 2: raw total energy -4.014 eV/atom. Number 3: raw total energy -2.525 eV/atom. Number 4: raw total energy -1.767 eV/atom. Number 5: raw total energy -3.209 eV/atom. Number 6: raw total energy -3.106 eV/atom. Number 7: raw total energy -4.161 eV/atom. Number 8: raw total energy -2.987 eV/atom.